*w*
Ti2OsN: relaxed, PBE.

Lattice parameters (Å, degrees): 5.974 5.974 5.974 90.00 90.00 90.00
Space group Fm-3m (No. 225)
Asymmetric unit:
Ti1 0.250 0.250 0.250 (multiplicity 8)
Os1 0.000 0.000 0.000 (multiplicity 4)
N1 0.000 0.000 0.500 (multiplicity 4)

Results
The density of states at the Fermi level is 4.8 states/eV/f.u.

*x*
Ti2OsN: relaxed, PBE.

Lattice parameters (Å, degrees): 5.749 5.749 7.181 90.00 90.00 90.00
Space group I-42d (No. 122)
Asymmetric unit:
Ti1 0.170 0.250 0.125 (multiplicity 8)
Os1 0.000 0.000 0.500 (multiplicity 4)
N1 0.000 0.000 0.000 (multiplicity 4)

Results
The density of states at the Fermi level is 3.8 states/eV/f.u.

*x* (68.3 kJ/mol of atoms below the next structure)

*w*
Ti3OsN: relaxed, PBE.

Lattice parameters (Å, degrees): 4.089 4.089 4.089 90.00 90.00 90.00
Space group Pm-3m (No. 221)
Asymmetric unit:
Ti1 0.000 0.000 0.500 (multiplicity 3)
Os1 0.500 0.500 0.500 (multiplicity 1)
N1 0.000 0.000 0.000 (multiplicity 1)

Results
The density of states at the Fermi level is 7.0 states/eV/f.u.

*x*
Ti3OsN: relaxed, PBE.

Lattice parameters (Å, degrees): 4.701 4.701 4.701 90.00 90.00 90.00
Space group Pm-3m (No. 221)
Asymmetric unit:
Ti1 0.000 0.000 0.500 (multiplicity 3)
Os1 0.000 0.000 0.000 (multiplicity 1)
N1 0.500 0.500 0.500 (multiplicity 1)

Results
The density of states at the Fermi level is 7.7 states/eV/f.u.

*w* (214.1 kJ/mol of atoms below the next structure)

*w*
UOsN: relaxed, PBE.

Lattice parameters (Å, degrees): 3.9221 3.9221 22.9271 90.00 90.00 120.00
Space group R-3m (No. 166, hexagonal axes)
Asymmetric unit:
U1 0.0000 0.0000 0.1057 (multiplicity 6)
Os1 0.0000 0.0000 0.3492 (multiplicity 6)
N1 0.0000 0.0000 0.2004 (multiplicity 6)

Results
The density of states at the Fermi level is 4.1 states/eV/f.u.

*x*
UOsN: relaxed, PBE.

Lattice parameters (Å, degrees): 4.044 4.044 6.308 90.00 90.00 90.00
Space group I4mm (No. 107)
Asymmetric unit:
U1 0.000 0.000 0.000 (multiplicity 2)
Os1 0.000 0.000 0.381 (multiplicity 2)
N1 0.000 0.000 0.685 (multiplicity 2)

Results
The density of states at the Fermi level is 3.9 states/eV/f.u.

*w* (82.1 kJ/mol of atoms below the next structure)

*w*
OsWN2: relaxed, PBE.

Lattice parameters (Å, degrees): 4.070 4.070 11.439 90.00 90.00 90.00
Space group I-42d (No. 122)
Asymmetric unit:
Os1 0.000 0.000 0.000 (multiplicity 4)
W1 0.000 0.000 0.500 (multiplicity 4)
N1 0.247 0.250 0.625 (multiplicity 8)

Results
The density of states at the Fermi level is 1.7 states/eV/f.u.

*x*
OsWN2: relaxed, PBE.

Lattice parameters (Å, degrees): 5.458 5.458 5.458 90.00 90.00 90.00
Space group Fm-3m (No. 225)
Asymmetric unit:
Os1 0.000 0.000 0.000 (multiplicity 4)
W1 0.000 0.000 0.500 (multiplicity 4)
N1 0.250 0.250 0.250 (multiplicity 8)

Results
The density of states at the Fermi level is 2.0 states/eV/f.u.

*y*
OsWN2: relaxed, PBE.

Lattice parameters (Å, degrees): 2.8146 2.8146 19.9700 90.00 90.00 120.00
Space group R-3m (No. 166, hexagonal axes)
Asymmetric unit:
Os1 0.0000 0.0000 0.0000 (multiplicity 3)
W1 0.0000 0.0000 0.5000 (multiplicity 3)
N1 0.0000 0.0000 0.0990 (multiplicity 6)

Results
The density of states at the Fermi level is 2.7 states/eV/f.u.

*y* (6.9 kJ/mol of atoms below the next structure)

*w*
YOsN2: relaxed, PBE.

Lattice parameters (Å, degrees): 5.701 5.701 5.701 90.00 90.00 90.00
Space group Fm-3m (No. 225)
Asymmetric unit:
Y1 0.000 0.000 0.000 (multiplicity 4)
Os1 0.000 0.000 0.500 (multiplicity 4)
N1 0.250 0.250 0.250 (multiplicity 8)

Results
The density of states at the Fermi level is 2.4 states/eV/f.u.

*x*
YOsN2: relaxed, PBE.

Lattice parameters (Å, degrees): 3.5929 3.5929 17.5343 90.00 90.00 120.00
Space group R-3m (No. 166, hexagonal axes)
Asymmetric unit:
Y1 0.0000 0.0000 0.0000 (multiplicity 3)
Os1 0.0000 0.0000 0.5000 (multiplicity 3)
N1 0.0000 0.0000 0.3964 (multiplicity 6)

Results
The density of states at the Fermi level is 1.3 states/eV/f.u.

*x* (43.5 kJ/mol of atoms below the next structure)

*w*
ZnOs3N: relaxed, PBE.

Lattice parameters (Å, degrees): 4.504 4.504 4.504 90.00 90.00 90.00
Space group Pm-3m (No. 221)
Asymmetric unit:
Zn1 0.000 0.000 0.000 (multiplicity 1)
Os1 0.000 0.000 0.500 (multiplicity 3)
N1 0.500 0.500 0.500 (multiplicity 1)

Results
The density of states at the Fermi level is 6.5 states/eV/f.u.

*x*
ZnOs3N: relaxed, PBE.

Lattice parameters (Å, degrees): 4.049 4.049 4.049 90.00 90.00 90.00
Space group Pm-3m (No. 221)
Asymmetric unit:
Zn1 0.000 0.000 0.000 (multiplicity 1)
Os1 0.000 0.500 0.500 (multiplicity 3)
N1 0.500 0.500 0.500 (multiplicity 1)

Results
The density of states at the Fermi level is 6.7 states/eV/f.u.

*x* (273.3 kJ/mol of atoms below the next structure)

*w*
ZrOsN2: relaxed, PBE.

Lattice parameters (Å, degrees): 4.463 4.463 10.830 90.00 90.00 90.00
Space group I-42d (No. 122)
Asymmetric unit:
Zr1 0.000 0.000 0.000 (multiplicity 4)
Os1 0.000 0.000 0.500 (multiplicity 4)
N1 0.214 0.250 0.625 (multiplicity 8)

Results
The density of states at the Fermi level is 2.3 states/eV/f.u.

*x*
ZrOsN2: relaxed, PBE.

Lattice parameters (Å, degrees): 5.602 5.602 5.602 90.00 90.00 90.00
Space group Fm-3m (No. 225)
Asymmetric unit:
Zr1 0.000 0.000 0.000 (multiplicity 4)
Os1 0.000 0.000 0.500 (multiplicity 4)
N1 0.250 0.250 0.250 (multiplicity 8)

Results
The density of states at the Fermi level is 2.6 states/eV/f.u.

*w* (57.0 kJ/mol of atoms below the next structure)

*w*
ZrOsN2: relaxed, PBE.

Lattice parameters (Å, degrees): 3.4339 3.4339 16.1328 90.00 90.00 120.00
Space group R-3m (No. 166, hexagonal axes)
Asymmetric unit:
Zr1 0.0000 0.0000 0.0000 (multiplicity 3)
Os1 0.0000 0.0000 0.5000 (multiplicity 3)
N1 0.0000 0.0000 0.1291 (multiplicity 6)

Results
The density of states at the Fermi level is 0.7 states/eV/f.u.

*x*
ZrOsN2: relaxed, PBE.

Lattice parameters (Å, degrees): 3.2281 3.2281 18.4463 90.00 90.00 120.00
Space group R-3m (No. 166, hexagonal axes)
Asymmetric unit:
Zr1 0.0000 0.0000 0.0000 (multiplicity 3)
Os1 0.0000 0.0000 0.5000 (multiplicity 3)
N1 0.0000 0.0000 0.3965 (multiplicity 6)

Results
The density of states at the Fermi level is 3.1 states/eV/f.u.

*x* (45.1 kJ/mol of atoms below the next structure)